A relaxed Sm2Tm7Tc2 crystal, computed with PBE-GGA.

Cell: 3.514 10.825 10.825 Å, 50.60 80.66 80.66°
Positions (direct):
1 Sm 0.756 0.825 0.663
2 Sm 0.244 0.337 0.175
3 Tm 0.865 0.020 0.251
4 Tm 0.888 0.386 0.838
5 Tm 0.500 0.041 0.959
6 Tm 0.581 0.515 0.324
7 Tm 0.419 0.676 0.485
8 Tm 0.135 0.749 0.980
9 Tm 0.112 0.162 0.614
10 Tc 0.000 0.798 0.202
11 Tc 0.500 0.344 0.656

Summary:
The total energy is -5.536 eV per atom. As for the space group: Imm2 (44).



A relaxed SmUTc2 crystal, computed with PBE-GGA.

Cell: 3.364 3.364 7.190 Å, 90.00 90.00 90.00°
Positions (direct):
1 U 0.500 0.500 0.000
2 Tc 0.000 0.000 0.800
3 Tc 0.000 0.000 0.200
4 Sm 0.500 0.500 0.500

Summary:
The total energy is -9.269 eV per atom. As for the space group: P4/mmm (123). The relative energy among the computed polymorphs comes out at 0.0 meV/atom.



A relaxed Sm5UTc4 crystal, computed with PBE-GGA.

Cell: 4.413 7.184 8.820 Å, 108.98 104.49 90.00°
Positions (direct):
1 Sm 0.166 0.034 0.333
2 Sm 0.175 0.553 0.351
3 Sm 0.825 0.447 0.649
4 Sm 0.500 0.500 0.000
5 Sm 0.834 0.966 0.667
6 U 0.500 0.000 0.000
7 Tc 0.636 0.270 0.272
8 Tc 0.986 0.789 0.973
9 Tc 0.364 0.730 0.728
10 Tc 0.014 0.211 0.027

Summary:
The total energy is -7.622 eV per atom. As for the space group: C2/m (12).



| no. | density (kg/m³) |
| --- | --- |
| 1 | 8908 |
| 2 | 11926 |
| 3 | 8999 |